{
  "formula": "Ta3NbSi",
  "functional": "PBE",
  "state": "relaxed",
  "lattice_angstrom": [[4.639, 0.000, 0.000], [0.000, 4.639, 0.000], [0.000, 0.000, 4.639]],
  "species": ["Ta", "Ta", "Ta", "Nb", "Si"],
  "fractional_positions": [[0.000, 0.000, 0.500], [0.000, 0.500, 0.000], [0.500, 0.000, 0.000], [0.500, 0.500, 0.500], [0.000, 0.000, 0.000]],
  "sg": "Pm-3m, No. 221",
  "dos_at_fermi_per_ev_atom": 1.027,
  "polymorph_energy_ev_per_atom": 0.000,
  "total_magnetization_mub_per_cell": 0.00
}

***

{
  "formula": "TaNb3Si",
  "functional": "PBE",
  "state": "relaxed",
  "lattice_angstrom": [[4.864, 0.000, 0.000], [0.000, 4.864, 0.000], [0.000, 0.000, 4.864]],
  "species": ["Ta", "Nb", "Nb", "Nb", "Si"],
  "fractional_positions": [[0.000, 0.000, 0.000], [0.000, 0.000, 0.500], [0.000, 0.500, 0.000], [0.500, 0.000, 0.000], [0.500, 0.500, 0.500]],
  "sg": "Pm-3m, No. 221",
  "dos_at_fermi_per_ev_atom": 0.856,
  "polymorph_energy_ev_per_atom": 0.894,
  "total_magnetization_mub_per_cell": 0.00
}

***

{
  "formula": "Ta3Nb12Si5",
  "functional": "PBE",
  "state": "relaxed",
  "lattice_angstrom": [[-7.605, 7.605, 7.605], [7.605, -7.605, 7.605], [7.605, 7.605, -7.605]],
  "species": ["Ta", "Ta", "Ta", "Ta", "Ta", "Ta", "Ta", "Ta", "Ta", "Ta", "Ta", "Ta", "Nb", "Nb", "Nb", "Nb", "Nb", "Nb", "Nb", "Nb", "Nb", "Nb", "Nb", "Nb", "Nb", "Nb", "Nb", "Nb", "Nb", "Nb", "Nb", "Nb", "Nb", "Nb", "Nb", "Nb", "Nb", "Nb", "Nb", "Nb", "Nb", "Nb", "Nb", "Nb", "Nb", "Nb", "Nb", "Nb", "Nb", "Nb", "Nb", "Nb", "Nb", "Nb", "Nb", "Nb", "Nb", "Nb", "Nb", "Nb", "Si", "Si", "Si", "Si", "Si", "Si", "Si", "Si", "Si", "Si", "Si", "Si", "Si", "Si", "Si", "Si", "Si", "Si", "Si", "Si"],
  "fractional_positions": [[0.125, 0.250, 0.375], [0.125, 0.375, 0.750], [0.250, 0.375, 0.125], [0.250, 0.875, 0.625], [0.375, 0.125, 0.250], [0.375, 0.750, 0.125], [0.625, 0.250, 0.875], [0.625, 0.875, 0.750], [0.750, 0.125, 0.375], [0.750, 0.625, 0.875], [0.875, 0.625, 0.250], [0.875, 0.750, 0.625], [0.059, 0.225, 0.139], [0.059, 0.333, 0.919], [0.081, 0.639, 0.414], [0.081, 0.941, 0.667], [0.086, 0.725, 0.667], [0.086, 0.861, 0.419], [0.139, 0.059, 0.225], [0.139, 0.581, 0.914], [0.167, 0.225, 0.586], [0.167, 0.441, 0.581], [0.225, 0.139, 0.059], [0.225, 0.586, 0.167], [0.275, 0.333, 0.914], [0.275, 0.441, 0.361], [0.333, 0.914, 0.275], [0.333, 0.919, 0.059], [0.361, 0.275, 0.441], [0.361, 0.586, 0.919], [0.414, 0.081, 0.639], [0.414, 0.833, 0.775], [0.419, 0.086, 0.861], [0.419, 0.833, 0.559], [0.441, 0.361, 0.275], [0.441, 0.581, 0.167], [0.559, 0.419, 0.833], [0.559, 0.639, 0.725], [0.581, 0.167, 0.441], [0.581, 0.914, 0.139], [0.586, 0.167, 0.225], [0.586, 0.919, 0.361], [0.639, 0.414, 0.081], [0.639, 0.725, 0.559], [0.667, 0.081, 0.941], [0.667, 0.086, 0.725], [0.725, 0.559, 0.639], [0.725, 0.667, 0.086], [0.775, 0.414, 0.833], [0.775, 0.861, 0.941], [0.833, 0.559, 0.419], [0.833, 0.775, 0.414], [0.861, 0.419, 0.086], [0.861, 0.941, 0.775], [0.914, 0.139, 0.581], [0.914, 0.275, 0.333], [0.919, 0.059, 0.333], [0.919, 0.361, 0.586], [0.941, 0.667, 0.081], [0.941, 0.775, 0.861], [0.000, 0.000, 0.000], [0.000, 0.000, 0.500], [0.000, 0.500, 0.000], [0.000, 0.500, 0.500], [0.125, 0.750, 0.875], [0.125, 0.875, 0.250], [0.250, 0.125, 0.875], [0.250, 0.625, 0.375], [0.375, 0.250, 0.625], [0.375, 0.625, 0.750], [0.500, 0.000, 0.000], [0.500, 0.000, 0.500], [0.500, 0.500, 0.000], [0.500, 0.500, 0.500], [0.625, 0.375, 0.250], [0.625, 0.750, 0.375], [0.750, 0.375, 0.625], [0.750, 0.875, 0.125], [0.875, 0.125, 0.750], [0.875, 0.250, 0.125]],
  "sg": "Ia-3d, No. 230",
  "dos_at_fermi_per_ev_atom": 1.120,
  "e_tot_ev_per_atom": -8.49,
  "total_magnetization_mub_per_cell": 0.00
}

***

{
  "formula": "TaNbSi3",
  "functional": "PBE",
  "state": "relaxed",
  "lattice_angstrom": [[4.713, 0.000, 0.000], [0.000, 4.713, 0.000], [0.000, 0.000, 4.713]],
  "species": ["Ta", "Nb", "Si", "Si", "Si"],
  "fractional_positions": [[0.000, 0.000, 0.000], [0.500, 0.500, 0.500], [0.000, 0.000, 0.500], [0.000, 0.500, 0.000], [0.500, 0.000, 0.000]],
  "sg": "Pm-3m, No. 221",
  "dos_at_fermi_per_ev_atom": 1.391,
  "polymorph_energy_ev_per_atom": 0.000,
  "total_magnetization_mub_per_cell": 0.00
}

***

{
  "formula": "Ta5Nb5Si6",
  "functional": "PBE",
  "state": "relaxed",
  "lattice_angstrom": [[7.090, -2.560, 0.000], [7.090, 2.560, 0.000], [-7.083, 0.000, 7.103]],
  "species": ["Ta", "Ta", "Ta", "Ta", "Ta", "Nb", "Nb", "Nb", "Nb", "Nb", "Si", "Si", "Si", "Si", "Si", "Si"],
  "fractional_positions": [[0.000, 0.000, 0.000], [0.175, 0.675, 0.646], [0.350, 0.350, 0.850], [0.500, 0.500, 0.441], [0.675, 0.175, 0.646], [0.145, 0.145, 0.441], [0.205, 0.205, 0.001], [0.644, 0.644, 0.290], [0.705, 0.705, 0.850], [0.850, 0.850, 0.290], [0.090, 0.090, 0.645], [0.175, 0.675, 0.145], [0.260, 0.260, 0.316], [0.589, 0.589, 0.974], [0.675, 0.175, 0.145], [0.760, 0.760, 0.645]],
  "sg": "Cm, No. 8",
  "dos_at_fermi_per_ev_atom": 0.551,
  "polymorph_energy_ev_per_atom": 0.000,
  "total_magnetization_mub_per_cell": 0.00
}

***

{
  "formula": "Ta3NbSi",
  "functional": "PBE",
  "state": "relaxed",
  "lattice_angstrom": [[4.852, 0.000, 0.000], [0.000, 4.852, 0.000], [0.000, 0.000, 4.852]],
  "species": ["Ta", "Ta", "Ta", "Nb", "Si"],
  "fractional_positions": [[0.000, 0.000, 0.500], [0.000, 0.500, 0.000], [0.500, 0.000, 0.000], [0.000, 0.000, 0.000], [0.500, 0.500, 0.500]],
  "sg": "Pm-3m, No. 221",
  "dos_at_fermi_per_ev_atom": 0.919,
  "polymorph_energy_ev_per_atom": 1.058,
  "total_magnetization_mub_per_cell": 0.00
}

***

{
  "formula": "TaNb3Si",
  "functional": "PBE",
  "state": "relaxed",
  "lattice_angstrom": [[4.646, 0.000, 0.000], [0.000, 4.646, 0.000], [0.000, 0.000, 4.646]],
  "species": ["Ta", "Nb", "Nb", "Nb", "Si"],
  "fractional_positions": [[0.000, 0.000, 0.000], [0.000, 0.500, 0.500], [0.500, 0.000, 0.500], [0.500, 0.500, 0.000], [0.500, 0.500, 0.500]],
  "sg": "Pm-3m, No. 221",
  "dos_at_fermi_per_ev_atom": 1.110,
  "polymorph_energy_ev_per_atom": 0.000,
  "total_magnetization_mub_per_cell": 0.00
}

***

{
  "formula": "Ta2NbSi2",
  "functional": "PBE",
  "state": "relaxed",
  "lattice_angstrom": [[6.736, 0.000, 0.000], [0.000, 6.736, 0.000], [0.000, 0.000, 3.515]],
  "species": ["Ta", "Ta", "Ta", "Ta", "Nb", "Nb", "Si", "Si", "Si", "Si"],
  "fractional_positions": [[0.170, 0.330, 0.000], [0.330, 0.830, 0.000], [0.670, 0.170, 0.000], [0.830, 0.670, 0.000], [0.000, 0.000, 0.500], [0.500, 0.500, 0.500], [0.128, 0.628, 0.500], [0.372, 0.128, 0.500], [0.628, 0.872, 0.500], [0.872, 0.372, 0.500]],
  "sg": "P4/mbm, No. 127",
  "dos_at_fermi_per_ev_atom": 0.912,
  "e_tot_ev_per_atom": -9.50,
  "total_magnetization_mub_per_cell": 0.00
}